(1)
BaTbZn2Ge2 | GGA-PBE | optimized geometry

Cell: 4.3114 4.3114 8.9962 Å, 90.00 90.00 120.00°
Space group P-3m1 (No. 164)
Symmetry-distinct sites (fractional):
Ba 0.0000 0.0000 0.0000
Tb 0.0000 0.0000 0.5000
Zn 0.3333 0.6667 0.7101
Ge 0.3333 0.6667 0.2834

Properties
DFT formation energy in eV per atom: -0.559

---

(2)
LaYCoAu2 | GGA-PBE | optimized geometry

Cell: 5.5011 5.5011 4.5569 Å, 90.00 90.00 90.00°
Space group P4/mmm (No. 123)
Symmetry-distinct sites (fractional):
La 0.0000 0.0000 0.0000
Y 0.5000 0.5000 0.5000
Co 0.0000 0.0000 0.5000
Au 0.0000 0.5000 0.0000

Properties
DFT formation energy in eV per atom: 0.371

---

(3)
Tb3SbSe6 | GGA-PBE | optimized geometry

Cell: 11.1275 14.0245 7.0969 Å, 90.00 90.00 90.00°
Space group Cmc2_1 (No. 36)
Symmetry-distinct sites (fractional):
Tb 0.0000 0.0938 0.0000
Tb 0.1837 0.4004 0.1027
Sb 0.0000 0.3213 0.6196
Se 0.0000 0.2675 0.2410
Se 0.0000 0.4921 0.8678
Se 0.1656 0.0331 0.2975
Se 0.1694 0.2329 0.8217

Properties
ΔE to the lowest computed polymorph in meV per atom: 13
Formation energy without anion corrections in eV per atom: -1.422

---

(4)
MgNiAg2 | GGA-PBE | optimized geometry

Cell: 2.8714 4.5073 5.1269 Å, 90.00 98.54 90.00°
Space group P2/m (No. 10)
Symmetry-distinct sites (fractional):
Mg 0.0000 0.0000 0.0000
Ni 0.5000 0.0000 0.5000
Ag 0.2866 0.5000 0.7398

Properties
DFT formation energy in eV per atom: 0.055

---

(5)
NbPtSe6 | GGA-PBE | optimized geometry

Cell: 6.2077 6.2269 6.2301 Å, 68.20 61.93 62.53°
Space group P-1 (No. 2)
Symmetry-distinct sites (fractional):
Nb 0.0000 0.0000 0.0000
Pt 0.5000 0.5000 0.5000
Se 0.0348 0.7354 0.7600
Se 0.3080 0.1819 0.5746
Se 0.4246 0.6861 0.0865

Properties
Formation energy without anion corrections in eV per atom: -0.250

---

(6)
InBN2F | GGA-PBE | optimized geometry

Cell: 4.3250 4.3250 4.2964 Å, 90.00 90.00 90.00°
Space group P4/mmm (No. 123)
Symmetry-distinct sites (fractional):
In 0.0000 0.0000 0.0000
B 0.5000 0.5000 0.5000
N 0.0000 0.5000 0.0000
F 0.0000 0.0000 0.5000

Properties
ΔE to the lowest computed polymorph in meV per atom: 1237
Formation energy without anion corrections in eV per atom: 1.605

---

(7)
Th4CoNi | GGA-PBE | optimized geometry

Cell: 9.0035 9.0035 8.4338 Å, 90.00 90.00 90.00°
Space group I4_1md (No. 109)
Symmetry-distinct sites (fractional):
Th 0.0000 0.1991 0.0000
Th 0.0000 0.2027 0.5199
Co 0.0000 0.0000 0.7584
Ni 0.0000 0.0000 0.2611

Properties
ΔE to the lowest computed polymorph in meV per atom: 166
DFT formation energy in eV per atom: -0.048

---

(8)
Er4TaC4 | GGA-PBE | optimized geometry

Cell: 11.4909 3.4251 8.5510 Å, 90.00 120.01 90.00°
Space group C2/m (No. 12)
Symmetry-distinct sites (fractional):
Er 0.1073 0.0000 0.3860
Er 0.2040 0.5000 0.8143
Ta 0.0000 0.5000 0.0000
C 0.0887 0.0000 0.9078
C 0.1912 0.5000 0.2840

Properties
DFT formation energy in eV per atom: -0.366

---

What did the second record say?
LaYCoAu2 | GGA-PBE | optimized geometry

Cell: 5.5011 5.5011 4.5569 Å, 90.00 90.00 90.00°
Space group P4/mmm (No. 123)
Symmetry-distinct sites (fractional):
La 0.0000 0.0000 0.0000
Y 0.5000 0.5000 0.5000
Co 0.0000 0.0000 0.5000
Au 0.0000 0.5000 0.0000

Properties
DFT formation energy in eV per atom: 0.371